Entry 1:
A relaxed structure of Er5Al2Tl2. Source: Alexandria, functional PBE-GGA.

Summary:
Energy relative to the elements (kJ/mol of atoms): -30.9

a b c (Å): 7.724 7.814 8.932
angles (deg): 115.94 90.00 90.00
Atoms (fractional coordinates):
1 Tl 0.000 0.781 0.562
2 Tl 0.500 0.719 0.438
3 Tl 0.500 0.281 0.562
4 Tl 0.000 0.219 0.438
5 Er 0.000 0.000 0.000
6 Er 0.822 0.554 0.738
7 Er 0.178 0.446 0.262
8 Er 0.500 0.500 0.000
9 Er 0.178 0.184 0.738
10 Er 0.678 0.054 0.738
11 Er 0.822 0.816 0.262
12 Er 0.322 0.684 0.738
13 Er 0.322 0.946 0.262
14 Er 0.678 0.316 0.262
15 Al 0.120 0.618 0.000
16 Al 0.880 0.382 0.000
17 Al 0.620 0.882 0.000
18 Al 0.380 0.118 0.000


Entry 2:
A relaxed structure of Er8AlTl2. Source: Alexandria, functional PBE-GGA.

Summary:
Energy relative to the elements (kJ/mol of atoms): -5.6

a b c (Å): 5.456 8.566 8.566
angles (deg): 118.89 102.10 102.10
Atoms (fractional coordinates):
1 Er 0.500 0.790 0.210
2 Er 0.113 0.099 0.325
3 Er 0.500 0.210 0.790
4 Er 0.113 0.325 0.099
5 Er 0.696 0.390 0.390
6 Er 0.887 0.901 0.675
7 Er 0.887 0.675 0.901
8 Er 0.304 0.610 0.610
9 Tl 0.000 0.304 0.696
10 Tl 0.000 0.696 0.304
11 Al 0.500 0.000 0.000


Entry 3:
A relaxed structure of Er12Al5Tl2. Source: Alexandria, functional PBE-GGA.

Summary:
Energy relative to the elements (kJ/mol of atoms): -3.7

a b c (Å): 7.095 8.714 9.696
angles (deg): 92.99 90.00 114.02
Atoms (fractional coordinates):
1 Al 0.720 0.440 0.348
2 Al 0.280 0.560 0.652
3 Al 0.000 0.000 0.500
4 Al 0.648 0.296 0.846
5 Al 0.352 0.704 0.154
6 Er 0.473 0.947 0.685
7 Er 0.058 0.630 0.871
8 Er 0.572 0.630 0.871
9 Er 0.428 0.370 0.129
10 Er 0.942 0.370 0.129
11 Er 0.116 0.707 0.440
12 Er 0.410 0.293 0.560
13 Er 0.527 0.053 0.315
14 Er 0.902 0.805 0.177
15 Er 0.098 0.195 0.823
16 Er 0.884 0.293 0.560
17 Er 0.590 0.707 0.440
18 Tl 0.286 0.000 0.000
19 Tl 0.714 0.000 0.000


Entry 4:
A relaxed structure of Er6Al2Tl. Source: Alexandria, functional PBE-GGA.

Summary:
Distance to the lowest polymorph of the same formula (meV/atom): 0
Energy relative to the elements (kJ/mol of atoms): -26.1

a b c (Å): 8.639 8.639 8.639
angles (deg): 104.52 112.64 111.37
Atoms (fractional coordinates):
1 Er 0.091 0.275 0.815
2 Er 0.203 0.756 0.959
3 Er 0.292 0.614 0.321
4 Er 0.292 0.971 0.679
5 Er 0.708 0.029 0.321
6 Er 0.797 0.244 0.041
7 Er 0.203 0.244 0.448
8 Er 0.909 0.725 0.185
9 Er 0.708 0.386 0.679
10 Er 0.460 0.275 0.185
11 Er 0.540 0.725 0.815
12 Er 0.797 0.756 0.552
13 Al 0.643 0.000 0.643
14 Al 0.500 0.622 0.122
15 Al 0.357 0.000 0.357
16 Al 0.500 0.378 0.878
17 Tl 0.000 0.500 0.500
18 Tl 0.000 0.000 0.000


Entry 5:
A relaxed structure of Er6AlTl. Source: Alexandria, functional PBE-GGA.

Summary:
Distance to the lowest polymorph of the same formula (meV/atom): 0
Energy relative to the elements (kJ/mol of atoms): -17.8

a b c (Å): 4.760 4.760 9.533
angles (deg): 90.00 90.00 90.00
Atoms (fractional coordinates):
1 Er 0.500 0.500 0.000
2 Er 0.500 0.500 0.500
3 Er 0.000 0.500 0.741
4 Er 0.500 0.000 0.259
5 Er 0.000 0.500 0.259
6 Er 0.500 0.000 0.741
7 Al 0.000 0.000 0.500
8 Tl 0.000 0.000 0.000


Entry 6:
A relaxed structure of Er6AlTl. Source: Alexandria, functional PBE-GGA.

Summary:
Distance to the lowest polymorph of the same formula (meV/atom): 178
Energy relative to the elements (kJ/mol of atoms): -0.7

a b c (Å): 6.494 6.494 9.001
angles (deg): 110.92 110.92 120.32
Atoms (fractional coordinates):
1 Er 0.762 0.351 0.757
2 Er 0.831 0.831 0.243
3 Er 0.649 0.238 0.243
4 Er 0.238 0.649 0.243
5 Er 0.169 0.169 0.757
6 Er 0.351 0.762 0.757
7 Tl 0.500 0.500 0.500
8 Al 0.000 0.000 0.000


Entry 7:
A relaxed structure of ErAlTl. Source: Alexandria, functional PBE-GGA.

Summary:
Distance to the lowest polymorph of the same formula (meV/atom): 0
Energy relative to the elements (kJ/mol of atoms): -23.2

a b c (Å): 3.502 4.782 4.782
angles (deg): 120.00 90.00 90.00
Atoms (fractional coordinates):
1 Tl 0.168 0.333 0.667
2 Al 0.165 0.000 0.000
3 Er 0.667 0.667 0.333


Entry 8:
A relaxed structure of Er4Al3Tl. Source: Alexandria, functional PBE-GGA.

Summary:
Distance to the lowest polymorph of the same formula (meV/atom): 33
Energy relative to the elements (kJ/mol of atoms): -32.8

a b c (Å): 3.934 4.422 11.483
angles (deg): 90.00 90.00 90.00
Atoms (fractional coordinates):
1 Al 0.500 0.000 0.921
2 Al 0.000 0.000 0.430
3 Al 0.000 0.500 0.569
4 Er 0.500 0.000 0.649
5 Er 0.000 0.500 0.843
6 Er 0.000 0.000 0.155
7 Er 0.500 0.500 0.357
8 Tl 0.500 0.500 0.076


| no. | final energy (eV per atom) |
| --- | --- |
| 1 | -4.213 |
| 2 | -4.147 |
| 3 | -4.154 |
| 4 | -4.407 |
| 5 | -4.370 |
| 6 | -4.193 |
| 7 | -3.798 |
| 8 | -4.321 |